BaNa2AgH | Alexandria | PBE | relaxed; size of the total moment = 0.000 μB per atom; uncorrected energy = -2.2512 eV per atom
1.0
4.8456 0.0000 0.0000
0.0000 4.8456 0.0000
0.0000 0.0000 5.6244
Ba Na Ag H
1 2 1 1
direct
0.0000 0.0000 0.0000
0.0000 0.5000 0.5000
0.5000 0.0000 0.5000
0.5000 0.5000 0.0000
0.0000 0.0000 0.5000